(1)
The following is a GGA-PBE calculation of crystalline LiAc2Mg3Pb4 at its relaxed geometry, from Alexandria via LeMat-Bulk.

Structure (POSCAR):
```
LiAc2Mg3Pb4
1.0
-0.606 -3.969 -2.945
2.417 -2.826 3.312
-10.141 -2.415 5.341
Mg Ac Li Pb
3 2 1 4
Cartesian
-5.071 -1.207 2.671
-0.123 -1.730 2.357
-9.112 -4.082 3.167
-2.794 -2.578 -0.161
-6.441 -3.235 5.685
-4.165 -4.605 2.854
-2.517 -2.300 3.618
-6.718 -3.512 1.906
0.000 0.000 0.000
0.906 -3.398 0.183
```

As for the density of states at the Fermi level: 2.2 states/eV/f.u. The total energy is -33.2 eV/f.u.


(2)
The following is a GGA-PBE calculation of crystalline LiAcMgPb3 at its relaxed geometry, from Alexandria via LeMat-Bulk.

Structure (POSCAR):
```
LiAcMgPb3
1.0
-3.004 -2.054 -5.369
-3.194 -4.550 3.528
-4.861 7.931 -0.315
Ac Li Pb Mg
2 2 6 2
Cartesian
-4.623 -0.796 0.932
-6.436 2.122 -3.088
-7.251 1.506 1.522
-3.807 -0.180 -3.678
-7.504 -0.615 -1.443
-2.293 -2.154 -1.811
-3.905 -4.451 -0.030
-2.403 -3.424 2.655
-0.791 -1.126 0.873
-3.554 1.941 -0.713
-5.326 -2.523 -1.932
-5.733 3.849 -0.224
```

As for the density of states at the Fermi level: 2.2 states/eV/f.u. The total energy is -19.6 eV/f.u.


(3)
The following is a GGA-PBE calculation of crystalline Li2AcMgPb2 at its relaxed geometry, from Alexandria via LeMat-Bulk.

Structure (POSCAR):
```
Li2AcMgPb2
1.0
-4.137 -1.754 -1.725
3.394 -3.001 1.626
-3.097 0.337 7.086
Li Pb Ac Mg
2 2 1 1
Cartesian
-2.708 -2.052 1.865
-1.133 -2.366 5.122
-3.899 -1.922 4.591
0.059 -2.495 2.396
0.000 0.000 0.000
-1.549 0.168 3.543
```

As for the density of states at the Fermi level: 1.7 states/eV/f.u. The total energy is -19.4 eV/f.u.


(4)
The following is a GGA-PBE calculation of crystalline LiAc2MgPd6 at its relaxed geometry, from Alexandria via LeMat-Bulk.

Structure (POSCAR):
```
LiAc2MgPd6
1.0
7.267 -0.066 0.738
0.015 6.153 -0.018
4.175 2.981 5.105
Mg Pd Li Ac
1 6 1 2
Cartesian
3.641 3.043 0.360
5.763 7.504 5.047
5.719 4.637 5.006
5.739 4.431 0.819
7.158 6.068 2.988
5.695 1.563 0.778
4.300 3.000 2.838
0.000 0.000 0.000
3.773 6.086 2.623
7.685 2.981 3.202
```

As for the density of states at the Fermi level: 2.0 states/eV/f.u. The total energy is -48.5 eV/f.u.


(5)
The following is a GGA-PBE calculation of crystalline Li2Ac3MgPd6 at its relaxed geometry, from Alexandria via LeMat-Bulk.

Structure (POSCAR):
```
Li2Ac3MgPd6
1.0
-4.341 -1.150 3.948
-0.905 -1.022 -5.821
3.046 -8.188 0.963
Pd Ac Li Mg
6 3 2 1
Cartesian
0.529 -6.512 1.060
-1.534 -7.058 2.936
-1.964 -7.544 0.170
-2.729 -3.848 -1.971
-0.237 -2.816 -1.081
-0.667 -3.301 -3.847
-2.036 -4.225 1.058
-0.164 -6.134 -1.969
0.000 0.000 0.000
-0.244 -9.042 1.625
-1.956 -1.317 -2.535
1.523 -4.094 0.482
```

As for the density of states at the Fermi level: 3.4 states/eV/f.u. The total energy is -56.7 eV/f.u.


(6)
The following is a GGA-PBE calculation of crystalline LiAcMg2Pd2 at its relaxed geometry, from Alexandria via LeMat-Bulk.

Structure (POSCAR):
```
LiAcMg2Pd2
1.0
-3.628 -0.873 -3.684
3.448 -2.869 -2.716
-1.496 -2.494 5.796
Mg Li Pd Ac
2 1 2 1
Cartesian
0.931 -3.617 -0.060
-2.607 -2.619 -0.544
0.000 0.000 0.000
-0.960 -4.265 -1.776
-0.716 -1.971 1.172
-0.090 -1.871 -3.200
```

As for the density of states at the Fermi level: 2.8 states/eV/f.u. The total energy is -21.7 eV/f.u.


(7)
The following is a GGA-PBE calculation of crystalline LiAcMg2Pd4 at its relaxed geometry, from Alexandria via LeMat-Bulk.

Structure (POSCAR):
```
LiAcMg2Pd4
1.0
4.483 0.000 0.000
2.242 3.883 0.000
2.242 1.294 8.782
Li Ac Pd Mg
1 1 4 2
Cartesian
4.483 2.588 4.391
0.000 0.000 0.000
6.725 3.883 3.371
4.483 2.588 1.832
2.242 1.294 5.411
4.483 2.588 6.950
6.725 3.883 6.073
2.242 1.294 2.709
```

As for the density of states at the Fermi level: 3.7 states/eV/f.u. The total energy is -35.3 eV/f.u.


(8)
The following is a GGA-PBE calculation of crystalline LiAcPmMg at its relaxed geometry, from Alexandria via LeMat-Bulk.

Structure (POSCAR):
```
LiAcPmMg
1.0
-4.792 1.355 -2.617
-4.918 -1.882 1.982
-3.612 3.574 2.416
Mg Pm Ac Li
1 1 1 1
Cartesian
-9.991 2.286 1.336
-6.661 1.524 0.891
0.000 0.000 0.000
-3.330 0.762 0.445
```

As for the density of states at the Fermi level: 5.5 states/eV/f.u. The total energy is -12.3 eV/f.u.


(9)
The following is a GGA-PBE calculation of crystalline LiAcMgPt at its relaxed geometry, from Alexandria via LeMat-Bulk.

Structure (POSCAR):
```
LiAcMgPt
1.0
-2.360 -0.901 4.407
-4.073 -3.034 0.127
0.316 -4.587 2.159
Pt Li Mg Ac
1 1 1 1
Cartesian
-1.529 -2.130 1.673
-4.587 -6.391 5.020
-3.058 -4.261 3.347
0.000 0.000 0.000
```

As for the density of states at the Fermi level: 2.9 states/eV/f.u. The total energy is -15.7 eV/f.u.


(10)
The following is a GGA-PBE calculation of crystalline Li3Ac2MgPt4 at its relaxed geometry, from Alexandria via LeMat-Bulk.

Structure (POSCAR):
```
Li3Ac2MgPt4
1.0
-1.475 -2.824 -2.833
0.285 -3.086 2.928
-10.335 2.133 3.255
Li Pt Ac Mg
3 4 2 1
Cartesian
-9.887 0.476 1.466
-5.167 1.066 1.628
-1.042 -1.299 1.837
-0.595 -2.955 0.047
-3.436 -0.805 2.591
-7.494 -0.018 0.712
0.000 0.000 0.000
-3.095 -0.926 -0.674
-7.835 0.103 3.977
-5.762 -1.889 1.675
```

As for the density of states at the Fermi level: 3.0 states/eV/f.u. The total energy is -47.7 eV/f.u.


(11)
The following is a GGA-PBE calculation of crystalline LiAcMgRh at its relaxed geometry, from Alexandria via LeMat-Bulk.

Structure (POSCAR):
```
LiAcMgRh
1.0
-4.481 2.046 1.066
-3.400 -2.616 2.644
-1.093 1.349 4.731
Mg Li Rh Ac
1 1 1 1
Cartesian
-2.243 0.195 2.110
0.000 0.000 0.000
-4.487 0.389 4.221
-6.730 0.584 6.331
```

As for the density of states at the Fermi level: 1.9 states/eV/f.u. The total energy is -16.0 eV/f.u.


(12)
The following is a GGA-PBE calculation of crystalline LiAcMgRu at its relaxed geometry, from Alexandria via LeMat-Bulk.

Structure (POSCAR):
```
LiAcMgRu
1.0
4.989 0.000 0.000
2.494 4.320 0.000
2.494 1.440 4.073
Mg Li Ac Ru
1 1 1 1
Cartesian
0.000 0.000 0.000
2.494 1.440 1.018
4.989 2.880 2.037
7.483 4.320 3.055
```

As for the density of states at the Fermi level: 1.2 states/eV/f.u. The total energy is -16.8 eV/f.u.


(13)
The following is a GGA-PBE calculation of crystalline Li3Ac2MgSb4 at its relaxed geometry, from Alexandria via LeMat-Bulk.

Structure (POSCAR):
```
Li3Ac2MgSb4
1.0
-0.685 4.167 -2.497
-4.404 -1.597 -1.458
-4.569 4.538 8.828
Mg Sb Ac Li
1 4 2 3
Cartesian
-4.829 3.554 2.437
-3.285 5.007 4.438
-2.544 1.285 -1.977
-3.828 0.816 2.413
0.000 0.000 0.000
-1.361 3.095 0.719
-5.753 2.728 6.132
-2.284 2.269 4.414
-2.708 -0.296 0.249
-4.405 6.119 6.602
```

As for the density of states at the Fermi level: 3.6 states/eV/f.u. The value obtained for the uncorrected formation energy is -731 meV/atom.


(14)
The following is a GGA-PBE calculation of crystalline LiAcMgSe3 at its relaxed geometry, from Alexandria via LeMat-Bulk.

Structure (POSCAR):
```
LiAcMgSe3
1.0
-2.542 3.249 0.639
-5.853 -3.722 -4.353
-1.258 -2.662 8.529
Mg Ac Se Li
2 2 6 2
Cartesian
-4.739 -2.080 -1.455
-4.913 -1.055 6.271
-2.131 -0.591 1.344
-7.521 -2.544 3.471
-5.750 -3.335 0.903
-4.945 -3.498 4.931
-7.333 -1.253 -2.337
-3.902 0.200 3.913
-2.320 -1.881 7.153
-4.708 0.363 -0.115
-1.957 -1.139 4.823
-7.696 -1.996 -0.007
```

As for the density of states at the Fermi level: 0.0 states/eV/f.u. The value obtained for the uncorrected formation energy is -1544 meV/atom.


(15)
The following is a GGA-PBE calculation of crystalline Li3Ac2MgSi4 at its relaxed geometry, from Alexandria via LeMat-Bulk.

Structure (POSCAR):
```
Li3Ac2MgSi4
1.0
4.310 0.000 0.000
0.000 4.310 0.000
0.000 0.000 11.264
Ac Si Li Mg
2 4 3 1
Cartesian
2.155 0.000 2.678
0.000 2.155 8.586
2.155 2.155 0.000
2.155 0.000 7.283
0.000 2.155 3.981
0.000 0.000 0.000
0.000 2.155 1.408
2.155 0.000 9.856
0.000 0.000 5.632
2.155 2.155 5.632
```

As for the density of states at the Fermi level: 5.2 states/eV/f.u. The value obtained for the uncorrected formation energy is -391 meV/atom.


(16)
The following is a GGA-PBE calculation of crystalline Li4Ac2MgSi3 at its relaxed geometry, from Alexandria via LeMat-Bulk.

Structure (POSCAR):
```
Li4Ac2MgSi3
1.0
4.443 0.000 0.000
0.000 4.443 0.000
0.000 0.000 10.853
Ac Si Li Mg
2 3 4 1
Cartesian
0.000 2.221 8.384
2.221 0.000 2.469
2.221 0.000 9.427
0.000 2.221 1.426
0.000 0.000 5.426
0.000 2.221 3.945
0.000 0.000 0.000
2.221 0.000 6.908
2.221 2.221 0.000
2.221 2.221 5.426
```

As for the density of states at the Fermi level: 4.2 states/eV/f.u. The value obtained for the uncorrected formation energy is -299 meV/atom.


(17)
The following is a GGA-PBE calculation of crystalline LiAcMgSi at its relaxed geometry, from Alexandria via LeMat-Bulk.

Structure (POSCAR):
```
LiAcMgSi
1.0
5.132 0.000 0.000
2.566 4.444 0.000
2.566 1.481 4.190
Ac Si Li Mg
1 1 1 1
Cartesian
5.132 2.963 2.095
7.698 4.444 3.143
2.566 1.481 1.048
0.000 0.000 0.000
```

As for the density of states at the Fermi level: 1.4 states/eV/f.u. The value obtained for the uncorrected formation energy is -144 meV/atom.


(18)
The following is a GGA-PBE calculation of crystalline LiAcSmMg at its relaxed geometry, from Alexandria via LeMat-Bulk.

Structure (POSCAR):
```
LiAcSmMg
1.0
5.615 0.000 0.000
2.807 4.863 0.000
2.807 1.621 4.585
Li Ac Sm Mg
1 1 1 1
Cartesian
0.000 0.000 0.000
8.422 4.863 3.438
2.807 1.621 1.146
5.615 3.242 2.292
```

As for the density of states at the Fermi level: 5.6 states/eV/f.u. The total energy is -12.2 eV/f.u.


(19)
The following is a GGA-PBE calculation of crystalline LiAcMgSn at its relaxed geometry, from Alexandria via LeMat-Bulk.

Structure (POSCAR):
```
LiAcMgSn
1.0
-0.097 -3.695 3.923
4.510 -2.634 1.334
2.417 1.008 4.712
Ac Mg Sn Li
1 1 1 1
Cartesian
0.000 0.000 0.000
3.415 -2.661 4.985
1.708 -1.330 2.492
5.123 -3.991 7.477
```

As for the density of states at the Fermi level: 1.3 states/eV/f.u. The total energy is -12.7 eV/f.u.


(20)
The following is a GGA-PBE calculation of crystalline LiAcMg2Sn2 at its relaxed geometry, from Alexandria via LeMat-Bulk.

Structure (POSCAR):
```
LiAcMg2Sn2
1.0
-2.577 3.569 -2.060
-1.986 -4.395 0.604
-2.622 2.147 7.001
Li Ac Sn Mg
1 1 2 2
Cartesian
-1.311 1.074 3.500
0.000 0.000 0.000
-2.856 -1.189 1.511
-4.330 2.511 4.033
-3.883 -0.349 4.253
-3.303 1.670 1.292
```

As for the density of states at the Fermi level: 1.4 states/eV/f.u. The total energy is -20.2 eV/f.u.